No. 1
The following is a PBE calculation of a relaxed CaMnBi2P crystal, from Alexandria.

Values from the calculation:
As for the space-group type: P4/mmm. For the formation energy from the elements, the calculation gives 0.964 eV per atom. As for the crystal system: tetragonal.

```
5
Lattice="-0.378 4.571 3.522 -0.575 -3.143 4.018 5.734 -0.098 0.743" Properties=species:S:1:pos:R:3 pbc="T T T"
P -0.287 -1.571 2.009
Ca 0.000 0.000 0.000
Mn 2.391 0.665 4.141
Bi 2.867 -0.049 0.372
Bi -0.189 2.285 1.761
```


No. 2
The following is a PBE calculation of a relaxed CaMnBi2Pd crystal, from Alexandria.

Values from the calculation:
As for the space-group type: P4/mmm. For the formation energy from the elements, the calculation gives 0.253 eV per atom. As for the crystal system: tetragonal.

```
5
Lattice="5.421 0.000 0.000 0.000 5.207 0.000 0.000 0.000 5.421" Properties=species:S:1:pos:R:3 pbc="T T T"
Ca 0.000 2.603 0.000
Mn 2.710 2.603 2.710
Bi 0.000 0.000 2.710
Bi 2.710 0.000 0.000
Pd 0.000 0.000 0.000
```


No. 3
The following is a PBE calculation of a relaxed CaMn2BiSb crystal, from Alexandria.

Values from the calculation:
As for the space-group type: P4/mmm. Its formation energy (no corrections) is 1.316 eV per atom. As for the crystal system: tetragonal.

```
5
Lattice="5.209 0.000 0.000 0.000 5.724 0.000 0.000 0.000 5.209" Properties=species:S:1:pos:R:3 pbc="T T T"
Sb 2.604 2.862 2.604
Ca 0.000 0.000 0.000
Mn 0.000 0.000 2.604
Mn 2.604 0.000 0.000
Bi 0.000 2.862 0.000
```


No. 4
The following is a PBE calculation of a relaxed Ca2MnBiSe crystal, from Alexandria.

Values from the calculation:
As for the space-group type: P4/mmm. Its formation energy (no corrections) is -0.577 eV per atom. As for the crystal system: tetragonal.

```
5
Lattice="5.552 0.000 0.000 0.000 5.552 0.000 0.000 0.000 4.721" Properties=species:S:1:pos:R:3 pbc="T T T"
Ca 0.000 2.776 0.000
Ca 2.776 0.000 0.000
Mn 0.000 0.000 2.361
Bi 2.776 2.776 2.361
Se 0.000 0.000 0.000
```


No. 5
The following is a PBE calculation of a relaxed CaMnSi2Bi crystal, from Alexandria.

Values from the calculation:
As for the space-group type: P4/mmm. Its formation energy (no corrections) is 0.198 eV per atom. As for the crystal system: tetragonal.

```
5
Lattice="-3.559 1.095 -2.613 0.970 -4.325 -3.134 -2.714 -2.522 2.640" Properties=species:S:1:pos:R:3 pbc="T T T"
Ca 0.485 -2.162 -1.567
Mn 0.000 0.000 0.000
Si -1.357 -1.261 1.320
Si -1.780 0.547 -1.306
Bi -2.652 -2.876 -1.553
```


No. 6
The following is a PBE calculation of a relaxed CaMnV2Bi crystal, from Alexandria.

Values from the calculation:
As for the space-group type: P4/mmm. For the formation energy from the elements, the calculation gives 1.599 eV per atom. As for the crystal system: tetragonal.

```
5
Lattice="5.062 0.000 0.000 0.000 4.900 0.000 0.000 0.000 5.062" Properties=species:S:1:pos:R:3 pbc="T T T"
Ca 2.531 2.450 2.531
Mn 0.000 2.450 0.000
Bi 0.000 0.000 0.000
V 0.000 0.000 2.531
V 2.531 0.000 0.000
```


No. 7
The following is a PBE calculation of a relaxed CaBi2Mo crystal, from Alexandria.

Values from the calculation:
As for the space-group type: I-42d. For the formation energy from the elements, the calculation gives 0.273 eV per atom. As for the offset from the most stable computed form: 9.86 kJ per mole of atoms. As for the crystal system: tetragonal.

```
8
Lattice="8.275 0.000 0.000 0.000 8.275 0.000 4.137 4.137 3.359" Properties=species:S:1:pos:R:3 pbc="T T T"
Mo 0.000 0.000 0.000
Mo 8.275 4.137 1.679
Ca 4.137 4.137 0.000
Ca 4.137 8.275 1.679
Bi 6.531 2.069 0.840
Bi 1.744 6.206 0.840
Bi 6.206 5.881 2.519
Bi 10.343 10.668 2.519
```


No. 8
The following is a PBE calculation of a relaxed Ca3BiMo crystal, from Alexandria.

Values from the calculation:
As for the space-group type: Pm-3m. For the formation energy from the elements, the calculation gives 0.679 eV per atom. As for the offset from the most stable computed form: 6.23 kJ per mole of atoms. As for the crystal system: cubic.

```
5
Lattice="-0.847 -5.791 -1.182 3.979 0.325 -4.441 4.371 -1.418 3.813" Properties=species:S:1:pos:R:3 pbc="T T T"
Mo 3.751 -3.442 -0.905
Ca 1.989 0.162 -2.220
Ca 2.186 -0.709 1.906
Ca -0.424 -2.896 -0.591
Bi 0.000 0.000 0.000
```


No. 9
The following is a PBE calculation of a relaxed CaBi3Mo crystal, from Alexandria.

Values from the calculation:
As for the space-group type: Pm-3m. For the formation energy from the elements, the calculation gives 0.301 eV per atom. As for the offset from the most stable computed form: 0.00 kJ per mole of atoms. As for the crystal system: cubic.

```
5
Lattice="-2.234 3.645 3.418 -1.532 -4.063 3.332 4.757 0.403 2.678" Properties=species:S:1:pos:R:3 pbc="T T T"
Mo 0.000 0.000 0.000
Ca 0.496 -0.008 4.714
Bi -0.766 -2.032 1.666
Bi 2.378 0.202 1.339
Bi -1.117 1.823 1.709
```


No. 10
The following is a PBE calculation of a relaxed Ca3BiMo crystal, from Alexandria.

Values from the calculation:
As for the space-group type: Pm-3m. For the formation energy from the elements, the calculation gives 0.615 eV per atom. As for the offset from the most stable computed form: 0.00 kJ per mole of atoms. As for the crystal system: cubic.

```
5
Lattice="-4.860 -0.680 -2.376 -2.332 -0.468 4.905 -0.816 5.389 0.127" Properties=species:S:1:pos:R:3 pbc="T T T"
Mo 0.000 0.000 0.000
Ca -1.166 -0.234 2.453
Ca -0.408 2.694 0.063
Ca -2.430 -0.340 -1.188
Bi -4.004 2.120 1.328
```


No. 11
The following is a PBE calculation of a relaxed Ca2BiMo crystal, from Alexandria.

Values from the calculation:
As for the space-group type: I-42d. For the formation energy from the elements, the calculation gives 0.646 eV per atom. As for the crystal system: tetragonal.

```
8
Lattice="-5.490 1.704 6.360 4.019 -5.692 4.994 1.061 0.135 6.657" Properties=species:S:1:pos:R:3 pbc="T T T"
Mo -0.735 -1.994 5.677
Mo 2.173 -3.775 8.664
Ca -2.517 0.342 6.094
Ca 1.944 -3.265 5.750
Ca 0.352 -1.546 9.384
Ca -0.598 -3.236 14.794
Bi 0.000 0.000 0.000
Bi -2.582 -0.078 9.347
```


No. 12
The following is a PBE calculation of a relaxed CaBi2Mo crystal, from Alexandria.

Values from the calculation:
As for the space-group type: Fm-3m. For the formation energy from the elements, the calculation gives 0.171 eV per atom. As for the offset from the most stable computed form: 0.00 kJ per mole of atoms. As for the crystal system: cubic.

```
4
Lattice="0.000 3.633 3.633 3.633 0.000 3.633 3.633 3.633 0.000" Properties=species:S:1:pos:R:3 pbc="T T T"
Mo 3.633 3.633 3.633
Ca 0.000 0.000 0.000
Bi 1.817 1.817 1.817
Bi 5.450 5.450 5.450
```


No. 13
The following is a PBE calculation of a relaxed CaNi2BiMo crystal, from Alexandria.

Values from the calculation:
As for the space-group type: P4/mmm. For the formation energy from the elements, the calculation gives 1.397 eV per atom. As for the crystal system: tetragonal.

```
5
Lattice="4.842 0.000 0.000 0.000 4.842 0.000 0.000 0.000 5.716" Properties=species:S:1:pos:R:3 pbc="T T T"
Ni 0.000 2.421 0.000
Ni 2.421 0.000 0.000
Mo 2.421 2.421 2.858
Ca 0.000 0.000 2.858
Bi 0.000 0.000 0.000
```